No. 1
This record from OQMD via LeMat-Bulk describes a geometry-optimized Sr2Co2Au structure. The functional is PBE-GGA.

Structure (extended XYZ):
```
10
Lattice="-2.8031 2.8031 7.0435 2.8031 -2.8031 7.0435 2.8031 2.8031 -7.0435" Properties=species:S:1:pos:R:3 pbc="T T T"
Sr 0.0000 0.0000 0.0000
Sr 1.4016 1.4016 -3.5217
Sr 1.4016 -1.4016 3.5217
Sr 0.0000 2.8031 0.0000
Co 2.8031 1.4016 -0.7166
Co 0.0000 1.4016 2.8052
Co 2.8031 1.4016 4.2383
Co 0.0000 1.4016 7.7601
Au 2.8031 1.4016 1.7609
Au 0.0000 1.4016 5.2826
```

## Properties
The calculated total energy comes out at -3.5199 eV per atom. As for the spin magnetization: 2.6 μB per formula unit.

***

No. 2
This record from OQMD via LeMat-Bulk describes a geometry-optimized PaGaAs structure. The functional is PBE-GGA.

Structure (extended XYZ):
```
3
Lattice="0.0000 3.2668 3.2668 3.2668 0.0000 3.2668 3.2668 3.2668 0.0000" Properties=species:S:1:pos:R:3 pbc="T T T"
Pa 0.0000 0.0000 0.0000
Ga 4.9003 4.9003 4.9003
As 3.2668 3.2668 3.2668
```

## Properties
The calculated total energy comes out at -5.6626 eV per atom. As for the spin magnetization: 0.6 μB per formula unit.

***

No. 3
This record from OQMD via LeMat-Bulk describes a geometry-optimized Rb2MoPbS6 structure. The functional is PBE-GGA.

Structure (extended XYZ):
```
10
Lattice="-3.4857 3.4857 5.4746 3.4857 -3.4857 5.4746 3.4857 3.4857 -5.4746" Properties=species:S:1:pos:R:3 pbc="T T T"
Rb 3.4857 0.0000 2.7373
Rb 0.0000 3.4857 2.7373
Mo 0.0000 0.0000 0.0000
Pb 0.0000 0.0000 5.4746
S 4.8321 1.0462 0.0000
S 0.0000 0.0000 2.4052
S 1.0462 2.1393 0.0000
S 2.4395 1.3464 5.4746
S 0.0000 0.0000 8.5440
S -1.3464 2.4395 5.4746
```

## Properties
The calculated total energy comes out at -4.5109 eV per atom. As for the spin magnetization: 0.0 μB per formula unit.

***

No. 4
This record from OQMD via LeMat-Bulk describes a geometry-optimized HfGa2CuBr6 structure. The functional is PBE-GGA.

Structure (extended XYZ):
```
10
Lattice="0.0000 5.2742 5.2742 5.2742 0.0000 5.2742 5.2742 5.2742 0.0000" Properties=species:S:1:pos:R:3 pbc="T T T"
Hf 0.0000 0.0000 0.0000
Ga 2.6371 2.6371 2.6371
Ga 7.9112 7.9112 7.9112
Cu 5.2742 5.2742 5.2742
Br 5.2742 5.2742 2.6422
Br 5.2742 2.6422 5.2742
Br 7.9061 5.2742 5.2742
Br 2.6422 5.2742 5.2742
Br 5.2742 7.9061 5.2742
Br 5.2742 5.2742 7.9061
```

## Properties
The calculated total energy comes out at -3.5687 eV per atom. As for the spin magnetization: 0.9 μB per formula unit.

***

No. 5
This record from OQMD via LeMat-Bulk describes a geometry-optimized BaTaNO structure. The functional is PBE-GGA.

Structure (extended XYZ):
```
16
Lattice="6.3913 0.0000 0.0000 0.0000 8.4576 0.0000 0.0000 0.0000 5.5409" Properties=species:S:1:pos:R:3 pbc="T T T"
Ba 0.4039 1.3202 0.0000
Ba 2.7918 1.3202 2.7705
Ba 3.5996 7.1373 0.0000
Ba 5.9874 7.1373 2.7705
Ta 0.8542 5.3466 0.0382
Ta 2.3415 5.3466 2.8087
Ta 4.0498 3.1109 0.0382
Ta 5.5372 3.1109 2.8087
N 0.0063 1.4482 2.7626
N 3.1893 1.4482 5.5331
N 3.2020 7.0094 2.7626
N 6.3850 7.0094 5.5331
O 0.5183 4.4530 3.3809
O 2.6774 4.4530 0.6105
O 3.7139 4.0046 3.3809
O 5.8731 4.0046 0.6105
```

## Properties
The calculated total energy comes out at -8.0591 eV per atom. As for the spin magnetization: 0.0 μB per formula unit.

***

No. 6
This record from OQMD via LeMat-Bulk describes a geometry-optimized La2TmTe3 structure. The functional is PBE-GGA.

Structure (extended XYZ):
```
6
Lattice="4.4484 0.0000 0.0000 -2.2242 3.8524 0.0000 0.0000 0.0000 11.1851" Properties=species:S:1:pos:R:3 pbc="T T T"
La 0.0000 2.5683 1.9318
La 2.2242 1.2841 9.2533
Tm 0.0000 0.0000 5.5925
Te 0.0000 0.0000 0.0000
Te 0.0000 2.5683 7.2528
Te 2.2242 1.2841 3.9322
```

## Properties
The calculated total energy comes out at -5.4175 eV per atom. As for the spin magnetization: 0.0 μB per formula unit.

***

No. 7
This record from OQMD via LeMat-Bulk describes a geometry-optimized SmErMg6 structure. The functional is PBE-GGA.

Structure (extended XYZ):
```
8
Lattice="5.1638 0.0000 0.0000 0.0000 5.1638 0.0000 0.0000 0.0000 7.3699" Properties=species:S:1:pos:R:3 pbc="T T T"
Sm 0.0000 0.0000 0.0000
Er 2.5819 2.5819 3.6850
Mg 0.0000 0.0000 3.6850
Mg 0.0000 2.5819 1.8899
Mg 0.0000 2.5819 5.4801
Mg 2.5819 0.0000 1.8899
Mg 2.5819 0.0000 5.4801
Mg 2.5819 2.5819 0.0000
```

## Properties
The calculated total energy comes out at -2.3994 eV per atom. As for the spin magnetization: 0.0 μB per formula unit.

***

No. 8
This record from OQMD via LeMat-Bulk describes a geometry-optimized Ga2FeCuIr4 structure. The functional is PBE-GGA.

Structure (extended XYZ):
```
8
Lattice="4.2657 0.0000 0.0000 0.0000 4.2657 0.0000 0.0000 0.0000 6.0535" Properties=species:S:1:pos:R:3 pbc="T T T"
Ga 0.0000 0.0000 0.0000
Ga 2.1328 2.1328 3.0267
Fe 0.0000 0.0000 3.0267
Cu 2.1328 2.1328 0.0000
Ir 0.0000 2.1328 1.5213
Ir 0.0000 2.1328 4.5322
Ir 2.1328 0.0000 1.5213
Ir 2.1328 0.0000 4.5322
```

## Properties
The calculated total energy comes out at -6.8933 eV per atom. As for the spin magnetization: 4.2 μB per formula unit.

***

No. 9
This record from OQMD via LeMat-Bulk describes a geometry-optimized BeHgB4 structure. The functional is PBE-GGA.

Structure (extended XYZ):
```
6
Lattice="-1.5379 2.6366 3.5903 1.5379 -2.6366 3.5903 1.5379 2.6366 -3.5903" Properties=species:S:1:pos:R:3 pbc="T T T"
Be 0.0000 0.0000 0.0000
Hg 0.0000 0.0000 3.5903
B 1.5379 -0.9005 1.6682
B 1.5379 0.9005 1.6682
B 0.0000 1.7361 1.9221
B 0.0000 3.5371 1.9221
```

## Properties
The calculated total energy comes out at -4.4260 eV per atom.

***

No. 10
This record from OQMD via LeMat-Bulk describes a geometry-optimized MgNiBMo structure. The functional is PBE-GGA.

Structure (extended XYZ):
```
4
Lattice="0.0000 2.8790 2.8790 2.8790 0.0000 2.8790 2.8790 2.8790 0.0000" Properties=species:S:1:pos:R:3 pbc="T T T"
Mg 0.0000 0.0000 0.0000
Ni 4.3185 4.3185 4.3185
B 2.8790 2.8790 2.8790
Mo 1.4395 1.4395 1.4395
```

## Properties
The calculated total energy comes out at -5.5906 eV per atom. As for the spin magnetization: 0.0 μB per formula unit.

***

No. 11
This record from OQMD via LeMat-Bulk describes a geometry-optimized RbTbNdTe3 structure. The functional is PBE-GGA.

Structure (extended XYZ):
```
12
Lattice="2.6136 -8.4889 0.0000 2.6136 8.4889 0.0000 0.0000 0.0000 10.8120" Properties=species:S:1:pos:R:3 pbc="T T T"
Rb 2.6136 4.5983 8.1090
Rb 2.6136 -4.5983 2.7030
Tb 0.0000 0.0000 0.0000
Tb 0.0000 0.0000 5.4060
Nd 2.6136 0.2397 8.1090
Nd 2.6136 -0.2397 2.7030
Te 2.6136 6.7735 2.7030
Te 2.6136 1.9171 0.4351
Te 2.6136 1.9171 4.9709
Te 2.6136 -1.9171 5.8411
Te 2.6136 -1.9171 10.3769
Te 2.6136 -6.7735 8.1090
```

## Properties
The calculated total energy comes out at -4.5128 eV per atom. As for the spin magnetization: 0.5 μB per formula unit.

***

No. 12
This record from OQMD via LeMat-Bulk describes a geometry-optimized TbNdNO structure. The functional is PBE-GGA.

Structure (extended XYZ):
```
8
Lattice="4.3531 0.0000 0.0000 0.0000 4.3531 0.0000 0.0000 0.0000 7.7185" Properties=species:S:1:pos:R:3 pbc="T T T"
Tb 1.0883 1.0883 0.7211
Tb 3.2648 3.2648 6.9975
Nd 1.0883 3.2648 3.8593
Nd 3.2648 1.0883 3.8593
N 1.0883 1.0883 5.0111
N 3.2648 3.2648 2.7074
O 1.0883 3.2648 0.0000
O 3.2648 1.0883 0.0000
```

## Properties
The calculated total energy comes out at -7.2395 eV per atom. As for the spin magnetization: 0.6 μB per formula unit.

***

No. 13
This record from OQMD via LeMat-Bulk describes a geometry-optimized AcAu structure. The functional is PBE-GGA.

Structure (extended XYZ):
```
2
Lattice="0.0000 3.4943 3.4943 3.4943 0.0000 3.4943 3.4943 3.4943 0.0000" Properties=species:S:1:pos:R:3 pbc="T T T"
Ac 0.0000 0.0000 0.0000
Au 5.2415 5.2415 5.2415
```

## Properties
The calculated total energy comes out at -4.0245 eV per atom. As for the spin magnetization: 0.0 μB per formula unit. Its formation energy is -0.34 eV per atom.

***

No. 14
This record from OQMD via LeMat-Bulk describes a geometry-optimized DyMg structure. The functional is PBE-GGA.

Structure (extended XYZ):
```
16
Lattice="5.3583 0.0000 0.0000 0.0000 13.1781 0.0000 0.0000 0.0000 6.2224" Properties=species:S:1:pos:R:3 pbc="T T T"
Dy 1.3396 1.4463 0.6246
Dy 1.3396 3.2945 3.7239
Dy 1.3396 5.1428 0.6246
Dy 1.3396 9.8836 4.6401
Dy 4.0187 3.2945 1.5823
Dy 4.0187 8.0353 5.5978
Dy 4.0187 9.8836 2.4985
Dy 4.0187 11.7318 5.5978
Mg 1.3396 6.6499 3.9058
Mg 1.3396 8.3739 1.3721
Mg 1.3396 11.3932 1.3721
Mg 1.3396 13.1172 3.9058
Mg 4.0187 0.0609 2.3166
Mg 4.0187 1.7849 4.8504
Mg 4.0187 4.8042 4.8504
Mg 4.0187 6.5282 2.3166
```

## Properties
The calculated total energy comes out at -3.0852 eV per atom. As for the spin magnetization: 0.0 μB per formula unit.

***

No. 15
This record from OQMD via LeMat-Bulk describes a geometry-optimized BaLiNdS3 structure. The functional is PBE-GGA.

Structure (extended XYZ):
```
12
Lattice="2.0891 -6.8014 0.0000 2.0891 6.8014 0.0000 0.0000 0.0000 10.6421" Properties=species:S:1:pos:R:3 pbc="T T T"
Ba 2.0891 3.4554 7.9815
Ba 2.0891 -3.4554 2.6605
Li 2.0891 6.4133 2.6605
Li 2.0891 -6.4133 7.9815
Nd 2.0891 0.0000 0.0000
Nd 2.0891 0.0000 5.3210
S 2.0891 4.9953 0.7225
S 2.0891 4.9953 4.5985
S 2.0891 0.9365 2.6605
S 2.0891 -0.9365 7.9815
S 2.0891 -4.9953 6.0436
S 2.0891 -4.9953 9.9195
```

## Properties
The calculated total energy comes out at -5.4148 eV per atom. As for the spin magnetization: 0.0 μB per formula unit.

***

No. 16
This record from OQMD via LeMat-Bulk describes a geometry-optimized DyY4Tm2Cu2Te2 structure. The functional is PBE-GGA.

Structure (extended XYZ):
```
11
Lattice="-1.9804 7.7579 4.7947 1.9804 -7.7579 4.7947 1.9804 7.7579 -4.7947" Properties=species:S:1:pos:R:3 pbc="T T T"
Dy 0.0000 0.0000 0.0000
Y 1.9804 5.7740 -0.8282
Y 0.0000 1.9840 3.9665
Y 0.0000 5.5287 2.4998
Y 0.0000 9.9872 2.4998
Tm 1.9804 2.8750 1.1287
Tm 0.0000 4.8830 5.9234
Cu 1.9804 -4.0832 4.0950
Cu 1.9804 4.0832 4.0950
Te 1.9804 0.0000 2.4949
Te 0.0000 0.0000 6.3602
```

## Properties
The calculated total energy comes out at -5.4226 eV per atom. As for the spin magnetization: 0.2 μB per formula unit.

***

No. 17
This record from OQMD via LeMat-Bulk describes a geometry-optimized BaCd2N2 structure. The functional is PBE-GGA.

Structure (extended XYZ):
```
5
Lattice="3.9185 0.0000 0.0000 -1.9593 3.3935 0.0000 0.0000 0.0000 6.8760" Properties=species:S:1:pos:R:3 pbc="T T T"
Ba 0.0000 0.0000 0.0000
Cd 0.0000 2.2624 4.3515
Cd 1.9593 1.1312 2.5245
N 0.0000 2.2624 1.8038
N 1.9593 1.1312 5.0722
```

## Properties
The calculated total energy comes out at -3.9685 eV per atom.

***

No. 18
This record from OQMD via LeMat-Bulk describes a geometry-optimized RbHg3OsSe4 structure. The functional is PBE-GGA.

Structure (extended XYZ):
```
9
Lattice="7.3246 0.0000 0.0000 0.0000 7.3246 0.0000 0.0000 0.0000 7.3246" Properties=species:S:1:pos:R:3 pbc="T T T"
Rb 0.0000 0.0000 0.0000
Hg 0.0000 3.6623 3.6623
Hg 3.6623 0.0000 3.6623
Hg 3.6623 3.6623 0.0000
Os 3.6623 3.6623 3.6623
Se 2.3274 2.3274 2.3274
Se 2.3274 4.9972 4.9972
Se 4.9972 2.3274 4.9972
Se 4.9972 4.9972 2.3274
```

## Properties
The calculated total energy comes out at -3.1030 eV per atom. As for the spin magnetization: 0.0 μB per formula unit.

***

No. 19
This record from OQMD via LeMat-Bulk describes a geometry-optimized RbHfAgTe3 structure. The functional is PBE-GGA.

Structure (extended XYZ):
```
12
Lattice="2.1053 -8.1943 0.0000 2.1053 8.1943 0.0000 0.0000 0.0000 11.1755" Properties=species:S:1:pos:R:3 pbc="T T T"
Rb 2.1053 4.2014 8.3816
Rb 2.1053 -4.2014 2.7939
Hf 0.0000 0.0000 0.0000
Hf 0.0000 0.0000 5.5878
Ag 2.1053 0.6932 2.7939
Ag 2.1053 -0.6932 8.3816
Te 2.1053 7.0762 2.7939
Te 2.1053 2.0190 0.3863
Te 2.1053 2.0190 5.2015
Te 2.1053 -2.0190 5.9741
Te 2.1053 -2.0190 10.7892
Te 2.1053 -7.0762 8.3816
```

## Properties
The calculated total energy comes out at -4.5925 eV per atom. As for the spin magnetization: 0.0 μB per formula unit.

***

No. 20
This record from OQMD via LeMat-Bulk describes a geometry-optimized CuH6C4N8 structure. The functional is PBE-GGA.

Structure (extended XYZ):
```
38
Lattice="6.6205 0.0000 0.0000 0.0000 9.5518 0.0000 -2.4863 0.0000 6.2890" Properties=species:S:1:pos:R:3 pbc="T T T"
Cu 0.0000 0.0000 0.0000
Cu -1.2432 4.7759 3.1445
H 1.7585 1.8283 0.7028
H 0.5154 2.9476 3.8473
H -0.2067 0.9016 5.7148
H 1.0365 3.8743 2.5704
H 2.2725 0.2451 0.9586
H 1.0293 4.5309 4.1031
H 3.1049 5.0210 2.1858
H 1.8618 9.3068 5.3303
H 3.0978 5.6776 3.7186
H 4.3409 8.6502 0.5741
H 3.6188 6.6042 2.4417
H 2.3757 7.7235 5.5862
C -1.3474 6.7827 5.7346
C -0.1042 7.5451 2.5901
C 0.4502 0.1187 3.3212
C 1.6933 4.6572 0.1767
C 2.4409 4.8946 6.1123
C 3.6840 9.4331 2.9678
C 4.2385 2.0068 3.6988
C 5.4816 2.7692 0.5543
N -0.2561 6.3750 2.5307
N -1.4992 7.9527 5.6752
N -1.1960 5.5149 5.5892
N 0.0472 8.8129 2.4447
N 1.7676 0.8719 0.3204
N 0.5244 3.9040 3.4649
N 0.8087 0.9920 4.0362
N 2.0519 3.7839 0.8917
N 2.0823 5.7679 5.3973
N 3.3255 8.5599 2.2528
N 3.6098 5.6479 2.8241
N 2.3666 8.6799 5.9685
N 4.0870 0.7389 3.8442
N 5.3302 4.0370 0.6997
N 5.6335 1.5991 0.6138
N 4.3903 3.1768 3.7582
```

## Properties
The calculated total energy comes out at -6.6189 eV per atom.